# 1
# LaEuPdRu

An optimized crystal structure of LaEuPdRu (PBE, Alexandria via LeMat-Bulk).

* VASP energy: -30.81 eV/cell
* crystal system: cubic

The structure in POSCAR format:
```
LaEuPdRu
1.0
-3.747 -1.198 3.181
-3.330 -3.596 -1.254
0.053 -4.448 2.410
Eu Ru Pd La
1 1 1 1
Direct
0.000 0.000 0.000
0.250 0.250 0.250
0.750 0.750 0.750
0.500 0.500 0.500
```

# 2
# Ac5InAg4

An optimized crystal structure of Ac5InAg4 (PBE, Alexandria via LeMat-Bulk).

* VASP energy: -37.62 eV/cell
* crystal system: tetragonal

The structure in POSCAR format:
```
Ac5InAg4
1.0
-3.532 -0.110 -1.817
0.521 -3.861 -0.779
-8.835 -4.712 17.459
Ac Ag In
5 4 1
Direct
0.500 0.500 0.107
0.500 0.500 0.893
0.500 0.500 0.304
0.500 0.500 0.696
0.500 0.500 0.500
0.000 0.000 0.794
0.000 0.000 0.206
0.000 0.000 0.402
0.000 0.000 0.598
0.000 0.000 0.000
```

# 3
# PaVBr6

An optimized crystal structure of PaVBr6 (PBE, Alexandria via LeMat-Bulk).

* VASP energy: -38.10 eV/cell
* crystal system: monoclinic

The structure in POSCAR format:
```
PaVBr6
1.0
-5.944 -0.640 3.024
3.535 -5.678 3.404
1.024 7.334 1.221
Br V Pa
6 1 1
Direct
0.257 0.743 0.743
0.732 0.874 0.590
0.732 0.590 0.874
0.268 0.126 0.410
0.268 0.410 0.126
0.743 0.257 0.257
0.500 0.500 0.500
0.000 0.000 0.000
```

# 4
# TmTh2Mg

An optimized crystal structure of TmTh2Mg (PBE, Alexandria via LeMat-Bulk).

* ΔE to the lowest computed polymorph: 468 meV per atom
* crystal system: tetragonal

The structure in POSCAR format:
```
TmTh2Mg
1.0
-1.183 -3.084 -3.239
3.026 -3.019 1.769
-9.348 -1.211 7.871
Th Mg Tm
4 2 2
Direct
0.875 0.375 0.250
0.125 0.125 0.750
0.375 0.875 0.250
0.625 0.625 0.750
0.000 0.000 0.000
0.750 0.250 0.500
0.250 0.750 0.500
0.500 0.500 0.000
```

# 5
# ScCoCu2Pt

An optimized crystal structure of ScCoCu2Pt (PBE, Alexandria via LeMat-Bulk).

* VASP energy: -25.37 eV/cell
* crystal system: tetragonal

The structure in POSCAR format:
```
ScCoCu2Pt
1.0
-3.359 -1.782 2.170
1.505 -4.036 -0.986
2.380 -0.011 3.675
Cu Sc Co Pt
2 1 1 1
Direct
0.000 0.000 0.500
0.500 0.000 0.000
0.000 0.500 0.000
0.000 0.000 0.000
0.500 0.500 0.500
```